(1)
## InMo12PbS16 (SCAN)

Data for a crystal of InMo12PbS16 relaxed with PBEsol.

As for the total magnetic moment: 0.000 μB per formula unit. The formation energy (no corrections) is -0.72 eV per atom.

The space group is R-3 (No. 148, hexagonal axes) and the conventional cell measures 9.0791, 9.0791 and 22.7009 Å, with angles of 90.00, 90.00 and 120.00 degrees. The inequivalent atoms are In at (0.0000, 0.0000, 0.0000), Mo at (0.0154, 0.8377, 0.3000), Mo at (0.0159, 0.8383, 0.8001), Pb at (0.0000, 0.0000, 0.5000), S at (0.0000, 0.0000, 0.1204), S at (0.0000, 0.0000, 0.3788), S at (0.0077, 0.6312, 0.3750) and S at (0.0075, 0.6319, 0.8750).

(2)
## Ga2IrRu (SCAN)

Data for a crystal of Ga2IrRu relaxed with PBEsol.

As for the total magnetic moment: 0.000 μB per formula unit. The value obtained for the energy of formation is -466 meV/atom.

The space group is Fm-3m (No. 225) and the conventional cell measures 5.9959, 5.9959 and 5.9959 Å, with angles of 90.00, 90.00 and 90.00 degrees. The inequivalent atoms are Ga at (0.2500, 0.2500, 0.2500), Ir at (0.0000, 0.0000, 0.0000) and Ru at (0.0000, 0.0000, 0.5000).

(3)
## NaFeF3 (SCAN)

Data for a crystal of NaFeF3 relaxed with PBEsol.

As for the total magnetic moment: 4.000 μB per formula unit. The formation energy (no corrections) is -2.57 eV per atom.

The space group is Cmcm (No. 63) and the conventional cell measures 2.9197, 10.4414 and 7.4492 Å, with angles of 90.00, 90.00 and 90.00 degrees. The inequivalent atoms are Na at (0.0000, 0.2461, 0.2500), Fe at (0.0000, 0.5000, 0.0000), F at (0.0000, 0.1354, 0.5624) and F at (0.0000, 0.4244, 0.7500).